Entry 1:
! TlHg5H | Alexandria via LeMat-Bulk | PBE | optimized geometry; values from VASP
! Fermi-level density of states	3.20	states/eV/cell
! symmetry	P-1, No. 2
! total DFT energy (no corrections)	-0.068	Ry per atom
! volume	24.849	Å³ per atom
&SYSTEM
  ibrav = 0, nat = 14, ntyp = 3
/
ATOMIC_SPECIES
Tl 204.38 Tl.upf
Hg 200.59 Hg.upf
H 1.01 H.upf
CELL_PARAMETERS angstrom
-6.061 -2.694 -1.388
8.921 1.361 -6.426
10.231 -1.651 4.223
ATOMIC_POSITIONS crystal
Tl 0.729 0.658 0.380
Tl 0.271 0.342 0.620
Hg 0.702 0.998 0.713
Hg 0.282 0.329 0.144
Hg 0.247 0.666 0.885
Hg 0.822 0.339 0.664
Hg 0.188 0.985 0.712
Hg 0.812 0.015 0.288
Hg 0.178 0.661 0.336
Hg 0.753 0.334 0.115
Hg 0.718 0.671 0.856
Hg 0.298 0.002 0.287
H 0.000 0.000 0.000
H 0.500 0.000 0.000

Entry 2:
! TlHgH3 | Alexandria via LeMat-Bulk | PBE | optimized geometry; values from VASP
! Fermi-level density of states	1.50	states/eV/cell
! symmetry	Pm-3m, No. 221
! relative energy among the computed polymorphs	0.231	eV/atom
! volume	14.375	Å³ per atom
&SYSTEM
  ibrav = 0, nat = 5, ntyp = 3
/
ATOMIC_SPECIES
H 1.01 H.upf
Tl 204.38 Tl.upf
Hg 200.59 Hg.upf
CELL_PARAMETERS angstrom
-0.728 2.251 3.419
2.360 -2.606 2.219
3.344 2.330 -0.821
ATOMIC_POSITIONS crystal
H 0.000 0.500 0.000
H 0.000 0.000 0.500
H 0.500 0.000 0.000
Tl 0.000 0.000 0.000
Hg 0.500 0.500 0.500

Entry 3:
! Tl3HgH2 | Alexandria via LeMat-Bulk | PBE | optimized geometry; values from VASP
! Fermi-level density of states	1.99	states/eV/cell
! symmetry	C2/c, No. 15
! total DFT energy (no corrections)	-0.154	Ry per atom
! volume	24.140	Å³ per atom
&SYSTEM
  ibrav = 0, nat = 12, ntyp = 3
/
ATOMIC_SPECIES
Tl 204.38 Tl.upf
Hg 200.59 Hg.upf
H 1.01 H.upf
CELL_PARAMETERS angstrom
-4.506 -0.516 -2.332
2.784 -1.757 -3.895
2.793 -5.516 17.416
ATOMIC_POSITIONS crystal
Tl 0.276 0.291 0.511
Tl 0.709 0.724 0.989
Tl 0.724 0.709 0.489
Tl 0.291 0.276 0.011
Tl 0.400 0.600 0.250
Tl 0.600 0.400 0.750
Hg 0.844 0.156 0.250
Hg 0.156 0.844 0.750
H 0.821 0.357 0.114
H 0.643 0.179 0.386
H 0.179 0.643 0.886
H 0.357 0.821 0.614

Entry 4:
! Tl7HgH12 | Alexandria via LeMat-Bulk | PBE | optimized geometry; values from VASP
! Fermi-level density of states	4.16	states/eV/cell
! symmetry	R-3, No. 148
! total DFT energy (no corrections)	-0.200	Ry per atom
! volume	17.608	Å³ per atom
&SYSTEM
  ibrav = 0, nat = 20, ntyp = 3
/
ATOMIC_SPECIES
Tl 204.38 Tl.upf
Hg 200.59 Hg.upf
H 1.01 H.upf
CELL_PARAMETERS angstrom
-5.933 -5.665 0.013
7.369 -3.014 1.981
-1.970 6.771 4.191
ATOMIC_POSITIONS crystal
Tl 0.308 0.842 0.024
Tl 0.976 0.692 0.158
Tl 0.158 0.976 0.692
Tl 0.500 0.500 0.500
Tl 0.842 0.024 0.308
Tl 0.024 0.308 0.842
Tl 0.692 0.158 0.976
Hg 0.000 0.000 0.000
H 0.755 0.374 0.400
H 0.600 0.245 0.626
H 0.842 0.501 0.517
H 0.483 0.158 0.499
H 0.626 0.600 0.245
H 0.499 0.483 0.158
H 0.501 0.517 0.842
H 0.374 0.400 0.755
H 0.517 0.842 0.501
H 0.158 0.499 0.483
H 0.400 0.755 0.374
H 0.245 0.626 0.600

Entry 5:
! TlHg6H3 | Alexandria via LeMat-Bulk | PBE | optimized geometry; values from VASP
! Fermi-level density of states	3.29	states/eV/cell
! symmetry	P2_1/c, No. 14
! total DFT energy (no corrections)	-0.087	Ry per atom
! volume	22.816	Å³ per atom
&SYSTEM
  ibrav = 0, nat = 20, ntyp = 3
/
ATOMIC_SPECIES
Tl 204.38 Tl.upf
Hg 200.59 Hg.upf
H 1.01 H.upf
CELL_PARAMETERS angstrom
2.823 0.979 6.628
-2.237 -5.347 1.742
12.972 -3.190 6.860
ATOMIC_POSITIONS crystal
Tl 0.500 0.500 0.500
Tl 0.000 0.000 0.000
Hg 0.386 0.791 0.006
Hg 0.368 0.996 0.638
Hg 0.381 0.703 0.214
Hg 0.619 0.297 0.786
Hg 0.632 0.004 0.362
Hg 0.614 0.209 0.994
Hg 0.886 0.709 0.506
Hg 0.868 0.504 0.138
Hg 0.881 0.797 0.714
Hg 0.119 0.203 0.286
Hg 0.132 0.496 0.862
Hg 0.114 0.291 0.494
H 0.254 0.264 0.732
H 0.500 0.500 0.000
H 0.746 0.736 0.268
H 0.754 0.236 0.232
H 0.000 0.000 0.500
H 0.246 0.764 0.768

Entry 6:
! Tl3Hg12H5 | Alexandria via LeMat-Bulk | PBE | optimized geometry; values from VASP
! Fermi-level density of states	21.98	states/eV/cell
! symmetry	Ia-3d, No. 230
! total DFT energy (no corrections)	-0.078	Ry per atom
! volume	22.969	Å³ per atom
&SYSTEM
  ibrav = 0, nat = 80, ntyp = 3
/
ATOMIC_SPECIES
Tl 204.38 Tl.upf
H 1.01 H.upf
Hg 200.59 Hg.upf
CELL_PARAMETERS angstrom
-4.486 -6.675 -10.674
11.317 -5.629 4.341
-9.187 -0.414 9.698
ATOMIC_POSITIONS crystal
Tl 0.750 0.375 0.125
Tl 0.875 0.750 0.125
Tl 0.375 0.750 0.625
Tl 0.250 0.125 0.375
Tl 0.875 0.125 0.250
Tl 0.375 0.625 0.250
Tl 0.625 0.375 0.750
Tl 0.125 0.875 0.750
Tl 0.750 0.875 0.625
Tl 0.625 0.250 0.375
Tl 0.125 0.250 0.875
Tl 0.250 0.625 0.875
H 0.125 0.375 0.250
H 0.000 0.500 0.000
H 0.000 0.000 0.000
H 0.375 0.250 0.125
H 0.500 0.000 0.500
H 0.500 0.500 0.000
H 0.125 0.750 0.375
H 0.750 0.125 0.875
H 0.750 0.625 0.375
H 0.375 0.125 0.750
H 0.625 0.875 0.250
H 0.500 0.500 0.500
H 0.500 0.000 0.000
H 0.000 0.000 0.500
H 0.250 0.375 0.625
H 0.250 0.875 0.125
H 0.000 0.500 0.500
H 0.875 0.250 0.625
H 0.625 0.750 0.875
H 0.875 0.625 0.750
Hg 0.690 0.090 0.000
Hg 0.309 0.500 0.409
Hg 0.000 0.410 0.310
Hg 0.500 0.190 0.090
Hg 0.600 0.690 0.691
Hg 0.000 0.591 0.191
Hg 0.309 0.810 0.400
Hg 0.091 0.900 0.090
Hg 0.591 0.000 0.691
Hg 0.690 0.600 0.191
Hg 0.810 0.500 0.410
Hg 0.809 0.909 0.000
Hg 0.090 0.690 0.500
Hg 0.410 0.409 0.100
Hg 0.100 0.909 0.410
Hg 0.400 0.090 0.591
Hg 0.100 0.191 0.190
Hg 0.500 0.691 0.091
Hg 0.809 0.900 0.310
Hg 0.090 0.400 0.091
Hg 0.410 0.000 0.810
Hg 0.591 0.590 0.400
Hg 0.909 0.809 0.500
Hg 0.810 0.309 0.900
Hg 0.409 0.410 0.600
Hg 0.091 0.191 0.500
Hg 0.190 0.691 0.100
Hg 0.191 0.100 0.690
Hg 0.590 0.000 0.190
Hg 0.910 0.600 0.909
Hg 0.500 0.309 0.909
Hg 0.600 0.910 0.409
Hg 0.900 0.809 0.810
Hg 0.900 0.091 0.590
Hg 0.910 0.310 0.500
Hg 0.191 0.091 0.000
Hg 0.590 0.591 0.900
Hg 0.409 0.000 0.309
Hg 0.310 0.400 0.809
Hg 0.190 0.500 0.590
Hg 0.909 0.100 0.910
Hg 0.691 0.190 0.600
Hg 0.500 0.810 0.910
Hg 0.000 0.409 0.809
Hg 0.400 0.310 0.309
Hg 0.000 0.590 0.690
Hg 0.691 0.500 0.591
Hg 0.310 0.910 0.000

Entry 7:
! Tl4HgH2 | Alexandria via LeMat-Bulk | PBE | optimized geometry; values from VASP
! Fermi-level density of states	2.11	states/eV/cell
! symmetry	C2/m, No. 12
! total DFT energy (no corrections)	-0.157	Ry per atom
! volume	23.698	Å³ per atom
&SYSTEM
  ibrav = 0, nat = 7, ntyp = 3
/
ATOMIC_SPECIES
Tl 204.38 Tl.upf
Hg 200.59 Hg.upf
H 1.01 H.upf
CELL_PARAMETERS angstrom
3.402 0.000 -0.569
-0.262 5.517 -1.569
-0.226 -0.771 9.102
ATOMIC_POSITIONS crystal
Tl 0.103 0.595 0.206
Tl 0.897 0.405 0.794
Tl 0.313 0.816 0.625
Tl 0.687 0.184 0.375
Hg 0.000 0.000 0.000
H 0.298 0.401 0.596
H 0.702 0.599 0.404

Entry 8:
! Tl3HgH4 | Alexandria via LeMat-Bulk | PBE | optimized geometry; values from VASP
! Fermi-level density of states	1.71	states/eV/cell
! symmetry	C2/m, No. 12
! total DFT energy (no corrections)	-0.164	Ry per atom
! volume	18.018	Å³ per atom
&SYSTEM
  ibrav = 0, nat = 8, ntyp = 3
/
ATOMIC_SPECIES
Tl 204.38 Tl.upf
Hg 200.59 Hg.upf
H 1.01 H.upf
CELL_PARAMETERS angstrom
3.647 0.000 -0.696
-0.539 5.251 -2.826
-0.494 0.553 7.314
ATOMIC_POSITIONS crystal
Tl 0.744 0.743 0.489
Tl 0.256 0.257 0.511
Tl 0.000 0.500 0.000
Hg 0.500 0.000 0.000
H 0.599 0.887 0.198
H 0.401 0.113 0.802
H 0.399 0.669 0.798
H 0.601 0.331 0.202